Sr7Hg2Bi2 | GGA-PBE | relaxed

Energy of formation = -428 meV/atom

```
Sr7Hg2Bi2
1.0
7.830 -0.004 -0.154
0.003 8.178 0.004
-0.642 -0.003 7.805
Sr Hg Bi
7 2 2
Direct
0.000 0.256 0.500
0.500 0.744 0.000
0.000 0.744 0.500
0.500 0.256 0.000
0.000 0.000 0.000
0.500 0.749 0.500
0.500 0.251 0.500
0.722 0.000 0.278
0.278 0.000 0.722
0.764 0.500 0.764
0.236 0.500 0.236
```

***

Pr3DyTm6 | GGA-PBE | relaxed

Energy of formation = 71 meV/atom

```
Pr3DyTm6
1.0
-0.345 2.548 -2.437
8.904 -6.107 -7.647
-15.829 -3.209 -1.113
Pr Dy Tm
6 2 12
Direct
0.750 0.388 0.892
0.250 0.612 0.108
0.750 0.625 0.507
0.250 0.375 0.493
0.750 0.130 0.097
0.250 0.870 0.903
0.750 0.118 0.696
0.250 0.882 0.304
0.750 0.599 0.712
0.250 0.401 0.288
0.750 0.857 0.101
0.250 0.143 0.899
0.750 0.381 0.099
0.250 0.619 0.901
0.750 0.654 0.311
0.250 0.346 0.689
0.750 0.123 0.485
0.250 0.877 0.515
0.750 0.891 0.721
0.250 0.109 0.279
```

***

ZrFePb2 | GGA-PBE | relaxed

Energy of formation = 690 meV/atom

```
ZrFePb2
1.0
-3.240 -2.639 -0.898
1.680 -2.948 2.600
-6.104 1.079 8.680
Pb Fe Zr
4 2 2
Direct
0.614 0.125 0.250
0.136 0.625 0.250
0.375 0.386 0.750
0.875 0.864 0.750
0.500 0.500 0.000
0.250 0.750 0.500
0.000 0.000 0.000
0.750 0.250 0.500
```

***

CoCu2Pt | GGA-PBE | relaxed

Energy of formation = 23 meV/atom

```
CoCu2Pt
1.0
4.558 0.007 0.000
1.529 4.293 0.000
-3.044 -2.150 2.624
Co Cu Pt
1 2 1
Direct
0.750 0.250 0.500
0.000 0.000 0.000
0.500 0.500 0.000
0.250 0.750 0.500
```

***

ThSi2Tc2H | GGA-PBE | relaxed

Total DFT energy (no corrections) = -46.077 eV/f.u.

```
ThSi2Tc2H
1.0
-1.597 -1.053 -3.700
-3.292 -1.698 1.904
-2.468 4.534 -0.225
Th Si Tc H
1 2 2 1
Direct
0.000 0.000 0.500
0.500 0.500 0.735
0.500 0.500 0.265
0.500 0.000 0.000
0.000 0.500 0.000
0.000 0.000 0.000
```

***

BeNbFe2 | GGA-PBE | relaxed

Energy of formation = 315 meV/atom

```
BeNbFe2
1.0
-1.449 -1.037 2.013
-3.509 -0.909 -2.995
3.315 -3.152 0.763
Be Nb Fe
1 1 2
Direct
0.500 0.000 0.000
0.500 0.500 0.000
0.000 0.796 0.593
0.000 0.204 0.407
```

***

NdTm2SiN4 | GGA-PBE | relaxed

Energy relative to the elements, uncorrected = -136.2 kJ/mol of atoms

```
NdTm2SiN4
1.0
-3.271 -0.434 -0.551
2.744 -4.772 -2.375
-0.942 -5.475 9.911
Nd Tm Si N
2 4 2 8
Direct
0.086 0.173 0.750
0.914 0.827 0.250
0.369 0.737 0.541
0.631 0.263 0.041
0.631 0.263 0.459
0.369 0.737 0.959
0.823 0.646 0.750
0.177 0.354 0.250
0.263 0.527 0.126
0.737 0.473 0.626
0.737 0.473 0.874
0.263 0.527 0.374
0.000 0.000 0.500
0.000 0.000 0.000
0.405 0.809 0.750
0.595 0.191 0.250
```

***

SrSi2As | GGA-PBE | relaxed

Energy relative to the elements, uncorrected = -3.3 kJ/mol of atoms

```
SrSi2As
1.0
3.698 0.000 0.000
0.000 3.698 0.000
0.000 0.000 6.429
As Si Sr
1 2 1
Direct
0.500 0.500 0.750
0.000 0.000 0.930
0.000 0.000 0.570
0.500 0.500 0.250
```

***

As2Au | GGA-PBE | relaxed

Energy of formation = 365 meV/atom

```
As2Au
1.0
5.745 -0.257 0.000
4.039 4.093 0.000
-4.892 -1.918 2.336
As Au
2 1
Direct
0.677 0.677 0.000
0.323 0.323 0.000
0.000 0.000 0.000
```

***

CaCrN3 | GGA-PBE | relaxed

Energy relative to the elements, uncorrected = 199.2 kJ/mol of atoms

```
CaCrN3
1.0
4.311 0.000 0.000
0.000 4.311 0.000
0.000 0.000 4.311
Cr Ca N
1 1 3
Direct
0.500 0.500 0.500
0.000 0.000 0.000
0.000 0.500 0.000
0.000 0.000 0.500
0.500 0.000 0.000
```

***

RbBiCl3 | GGA-PBE | relaxed

Energy relative to the elements, uncorrected = -100.5 kJ/mol of atoms

```
RbBiCl3
1.0
-4.574 -2.028 -5.109
-0.813 -9.031 -0.691
-8.394 -1.559 3.131
Rb Bi Cl
2 2 6
Direct
0.000 0.187 0.813
0.000 0.813 0.187
0.308 0.692 0.692
0.692 0.308 0.308
0.500 0.653 0.347
0.500 0.347 0.653
0.902 0.841 0.841
0.584 0.159 0.159
0.098 0.159 0.159
0.416 0.841 0.841
```

***

TaPIN2 | GGA-PBE | relaxed

Energy relative to the elements, uncorrected = 72.4 kJ/mol of atoms

```
TaPIN2
1.0
4.030 0.000 0.000
0.000 4.030 0.000
0.000 0.000 5.978
I P N Ta
1 1 2 1
Direct
0.000 0.000 0.500
0.500 0.500 0.500
0.000 0.500 0.000
0.500 0.000 0.000
0.000 0.000 0.000
```